This record from the Alexandria database describes a geometry-optimized Ta4RhBr structure. The functional is PBE-GGA.

Cell: 7.7363 7.7363 7.7363 Å, 90.00 90.00 90.00°
Closest atoms and distances in Å follow each position.
Space group F-43m (No. 216)
One atom of each set of equivalent atoms:
Ta  0.1243  0.1243  0.3757  6 Ta 2.72-2.75
Rh  0.2500  0.2500  0.7500  12 Ta 3.21, 4 Br 3.35
Br  0.0000  0.0000  0.0000  12 Ta 3.21, 4 Rh 3.35

Output
* energy relative to the elements, uncorrected: 0.778 eV/atom
* V: 19.3 Å³ per atom
* M_tot: 0.0 μB per formula unit
* calculated density: 13.01 g/cm3